Compound: Li2ZnSi
Source: Alexandria
Functional: PBE
Structure: relaxed

Cell lengths 2.765, 3.889, 5.497 Å; angles 90.00, 90.00, 90.00 degrees
Atoms (fractional coordinates):
Li: 0.000 0.000 0.000
Li: 0.500 0.500 0.270
Zn: 0.500 0.500 0.756
Si: 0.000 0.000 0.506

magnetization	0.000	μB/atom
formation energy without anion corrections	-0.4	eV/f.u.